# 1
# Al3PBr12 GGA-PBEsol relaxed
data_Al3PBr12
_chemical_formula_sum 'Al9 P3 Br36'
_cell_length_a 10.6709
_cell_length_b 10.6709
_cell_length_c 20.5057
_cell_angle_alpha 90.00
_cell_angle_beta 90.00
_cell_angle_gamma 120.00
_symmetry_space_group_name_H-M 'P 31 2 1'
_symmetry_Int_Tables_number 152
_symmetry_space_group_name_Hall 'P 31 2"'
loop_
_atom_site_label
_atom_site_fract_x
_atom_site_fract_y
_atom_site_fract_z
Al1 0.0000 0.9726 0.1667
Al2 0.2900 0.5941 0.0338
P1 0.0000 0.7347 0.6667
Br1 0.0317 0.2349 0.5259
Br2 0.0383 0.1379 0.0794
Br3 0.0647 0.6012 0.7487
Br4 0.1422 0.4034 0.9583
Br5 0.1563 0.6225 0.1104
Br6 0.2128 0.6703 0.3122
# Crystal system: trigonal
# Raw total energy in eV per atom: -3.343
# Density in g/cm3: 2.6


# 2
# AlPBr2 GGA-PBEsol relaxed
data_AlPBr2
_chemical_formula_sum 'Al3 P3 Br6'
_cell_length_a 3.4041
_cell_length_b 3.4041
_cell_length_c 25.9678
_cell_angle_alpha 90.00
_cell_angle_beta 90.00
_cell_angle_gamma 120.00
_symmetry_space_group_name_H-M 'R -3 m'
_symmetry_Int_Tables_number 166
_symmetry_space_group_name_Hall '-R 3 2"'
loop_
_atom_site_label
_atom_site_fract_x
_atom_site_fract_y
_atom_site_fract_z
Al1 0.0000 0.0000 0.0000
P1 0.0000 0.0000 0.5000
Br1 0.0000 0.0000 0.2694
# Crystal system: trigonal
# Raw total energy in eV per atom: -3.149
# Density in g/cm3: 4.2
# Relative energy among the computed polymorphs in eV per atom: 0.040


# 3
# AlP2Br GGA-PBEsol relaxed
data_AlP2Br
_chemical_formula_sum 'Al2 P4 Br2'
_cell_length_a 5.266
_cell_length_b 5.266
_cell_length_c 5.235
_cell_angle_alpha 90.00
_cell_angle_beta 90.00
_cell_angle_gamma 90.00
_symmetry_space_group_name_H-M 'I 4/m m m'
_symmetry_Int_Tables_number 139
_symmetry_space_group_name_Hall '-I 4 2'
loop_
_atom_site_label
_atom_site_fract_x
_atom_site_fract_y
_atom_site_fract_z
Al1 0.000 0.000 0.000
P1 0.000 0.500 0.000
Br1 0.000 0.000 0.500
# Crystal system: tetragonal
# Raw total energy in eV per atom: -4.176
# Density in g/cm3: 3.9
# Relative energy among the computed polymorphs in eV per atom: 0.000


# 4
# AlP2Br GGA-PBEsol relaxed
data_AlP2Br
_chemical_formula_sum 'Al1 P2 Br1'
_cell_length_a 4.775
_cell_length_b 4.775
_cell_length_c 2.990
_cell_angle_alpha 90.00
_cell_angle_beta 90.00
_cell_angle_gamma 90.00
_symmetry_space_group_name_H-M 'P 4/m m m'
_symmetry_Int_Tables_number 123
_symmetry_space_group_name_Hall '-P 4 2'
loop_
_atom_site_label
_atom_site_fract_x
_atom_site_fract_y
_atom_site_fract_z
Al1 0.000 0.000 0.000
P1 0.000 0.500 0.500
Br1 0.500 0.500 0.000
# Crystal system: tetragonal
# Raw total energy in eV per atom: -3.812
# Density in g/cm3: 4.1
# Relative energy among the computed polymorphs in eV per atom: 0.364


# 5
# AlPBr2 GGA-PBEsol relaxed
data_AlPBr2
_chemical_formula_sum 'Al2 P2 Br4'
_cell_length_a 5.408
_cell_length_b 5.408
_cell_length_c 6.252
_cell_angle_alpha 90.00
_cell_angle_beta 90.00
_cell_angle_gamma 90.00
_symmetry_space_group_name_H-M 'I 4/m m m'
_symmetry_Int_Tables_number 139
_symmetry_space_group_name_Hall '-I 4 2'
loop_
_atom_site_label
_atom_site_fract_x
_atom_site_fract_y
_atom_site_fract_z
Al1 0.000 0.000 0.000
P1 0.000 0.000 0.500
Br1 0.000 0.500 0.000
# Crystal system: tetragonal
# Raw total energy in eV per atom: -3.188
# Density in g/cm3: 4.0
# Relative energy among the computed polymorphs in eV per atom: 0.000


# 6
# TaAl2PBr GGA-PBEsol relaxed
data_TaAl2PBr
_chemical_formula_sum 'Ta1 Al2 P1 Br1'
_cell_length_a 4.882
_cell_length_b 4.882
_cell_length_c 4.680
_cell_angle_alpha 90.00
_cell_angle_beta 90.00
_cell_angle_gamma 90.00
_symmetry_space_group_name_H-M 'P 4/m m m'
_symmetry_Int_Tables_number 123
_symmetry_space_group_name_Hall '-P 4 2'
loop_
_atom_site_label
_atom_site_fract_x
_atom_site_fract_y
_atom_site_fract_z
Ta1 0.000 0.000 0.000
Al1 0.000 0.500 0.500
P1 0.500 0.500 0.000
Br1 0.000 0.000 0.500
# Crystal system: tetragonal
# Raw total energy in eV per atom: -4.130
# Density in g/cm3: 5.1


# 7
# AlPbBr4 GGA-PBEsol relaxed
data_AlPbBr4
_chemical_formula_sum 'Al4 Pb4 Br16'
_cell_length_a 8.812
_cell_length_b 8.812
_cell_length_c 8.812
_cell_angle_alpha 90.00
_cell_angle_beta 90.00
_cell_angle_gamma 90.00
_symmetry_space_group_name_H-M 'F -4 3 m'
_symmetry_Int_Tables_number 216
_symmetry_space_group_name_Hall 'F -4 2 3'
loop_
_atom_site_label
_atom_site_fract_x
_atom_site_fract_y
_atom_site_fract_z
Al1 0.000 0.000 0.000
Pb1 0.250 0.250 0.250
Br1 0.125 0.125 0.625
# Crystal system: cubic
# Raw total energy in eV per atom: -2.261
# Density in g/cm3: 5.4


# 8
# AlPbBr GGA-PBEsol relaxed
data_AlPbBr
_chemical_formula_sum 'Al1 Pb1 Br1'
_cell_length_a 3.4999
_cell_length_b 3.4999
_cell_length_c 7.3002
_cell_angle_alpha 90.00
_cell_angle_beta 90.00
_cell_angle_gamma 120.00
_symmetry_space_group_name_H-M 'P 3 m 1'
_symmetry_Int_Tables_number 156
_symmetry_space_group_name_Hall 'P 3 -2"'
loop_
_atom_site_label
_atom_site_fract_x
_atom_site_fract_y
_atom_site_fract_z
Al1 0.0000 0.0000 0.0000
Pb1 0.6667 0.3333 0.2975
Br1 0.3333 0.6667 0.7592
# Crystal system: trigonal
# Raw total energy in eV per atom: -3.538
# Density in g/cm3: 6.7


# 9
# AlPb2Br GGA-PBEsol relaxed
data_AlPb2Br
_chemical_formula_sum 'Al2 Pb4 Br2'
_cell_length_a 4.932
_cell_length_b 4.963
_cell_length_c 8.447
_cell_angle_alpha 90.00
_cell_angle_beta 90.00
_cell_angle_gamma 90.00
_symmetry_space_group_name_H-M 'C m m m'
_symmetry_Int_Tables_number 65
_symmetry_space_group_name_Hall '-C 2 2'
loop_
_atom_site_label
_atom_site_fract_x
_atom_site_fract_y
_atom_site_fract_z
Al1 0.000 0.000 0.000
Pb1 0.000 0.500 0.230
Br1 0.000 0.000 0.500
# Crystal system: orthorhombic
# Raw total energy in eV per atom: -3.571
# Density in g/cm3: 8.4


# 10
# AlPbBr2 GGA-PBEsol relaxed
data_AlPbBr2
_chemical_formula_sum 'Al4 Pb4 Br8'
_cell_length_a 7.447
_cell_length_b 7.447
_cell_length_c 7.447
_cell_angle_alpha 90.00
_cell_angle_beta 90.00
_cell_angle_gamma 90.00
_symmetry_space_group_name_H-M 'F m -3 m'
_symmetry_Int_Tables_number 225
_symmetry_space_group_name_Hall '-F 4 2 3'
loop_
_atom_site_label
_atom_site_fract_x
_atom_site_fract_y
_atom_site_fract_z
Al1 0.000 0.000 0.000
Pb1 0.000 0.000 0.500
Br1 0.250 0.250 0.250
# Crystal system: cubic
# Raw total energy in eV per atom: -3.150
# Density in g/cm3: 6.3


# 11
# AlPdSe2Br GGA-PBEsol relaxed
data_AlPdSe2Br
_chemical_formula_sum 'Al1 Pd1 Se2 Br1'
_cell_length_a 4.886
_cell_length_b 4.886
_cell_length_c 5.011
_cell_angle_alpha 90.00
_cell_angle_beta 90.00
_cell_angle_gamma 90.00
_symmetry_space_group_name_H-M 'P 4/m m m'
_symmetry_Int_Tables_number 123
_symmetry_space_group_name_Hall '-P 4 2'
loop_
_atom_site_label
_atom_site_fract_x
_atom_site_fract_y
_atom_site_fract_z
Al1 0.000 0.000 0.000
Pd1 0.500 0.500 0.500
Se1 0.000 0.500 0.500
Br1 0.500 0.500 0.000
# Crystal system: tetragonal
# Raw total energy in eV per atom: -3.689
# Density in g/cm3: 5.2


Q: Among the records above, which one has the lowest density?
A: Al3PBr12